No. 1
# Na3LiPb12

An optimized crystal structure of Na3LiPb12 (GGA-PBE, Alexandria via LeMat-Bulk).

M_tot, μB/f.u.: 0.00
ΔE_f, eV/atom: -0.119
Symmetry: P4/mmm

abc: 4.833 4.833 20.153
angles: 90.00 90.00 90.00
Element x y z (fractional)
Na1 0.000 0.000 0.248
Na2 0.000 0.000 0.500
Na3 0.000 0.000 0.752
Li1 0.000 0.000 0.000
Pb1 0.500 0.500 0.000
Pb2 0.500 0.500 0.248
Pb3 0.500 0.500 0.500
Pb4 0.500 0.500 0.752
Pb5 0.500 0.000 0.121
Pb6 0.500 0.000 0.374
Pb7 0.500 0.000 0.626
Pb8 0.500 0.000 0.879
Pb9 0.000 0.500 0.121
Pb10 0.000 0.500 0.374
Pb11 0.000 0.500 0.626
Pb12 0.000 0.500 0.879

No. 2
# Na3LiPb

An optimized crystal structure of Na3LiPb (GGA-PBE, Alexandria via LeMat-Bulk).

M_tot, μB/f.u.: 0.00
ΔE_f, eV/atom: 0.183
Symmetry: Pm-3m
Energy relative to the lowest polymorph listed for this composition, eV/f.u.: 1.58

abc: 5.962 5.962 5.962
angles: 90.00 90.00 90.00
Element x y z (fractional)
Pb1 0.000 0.000 0.000
Na1 0.000 0.500 0.000
Na2 0.000 0.000 0.500
Na3 0.500 0.000 0.000
Li1 0.500 0.500 0.500

No. 3
# NaLi2Pb3

An optimized crystal structure of NaLi2Pb3 (GGA-PBE, Alexandria via LeMat-Bulk).

M_tot, μB/f.u.: 0.00
ΔE_f, eV/atom: -0.223
Symmetry: P4/mmm

abc: 3.631 3.631 11.159
angles: 90.00 90.00 90.00
Element x y z (fractional)
Na1 0.500 0.500 0.500
Li1 0.500 0.500 0.850
Li2 0.500 0.500 0.150
Pb1 0.000 0.000 0.000
Pb2 0.000 0.000 0.695
Pb3 0.000 0.000 0.305